[1]
This record from Alexandria via LeMat-Bulk describes Sc4MnAl3 after structural relaxation. The functional is GGA-PBE.

Cell lengths 3.317, 4.793, 9.511 Å; angles 90.00, 90.00, 90.00 degrees
Each line ends with the local moment (μB).
Sites, in units of the cell vectors:
Sc1 0.000 0.000 0.500  -0.05
Sc2 0.000 0.500 0.761  -0.18
Sc3 0.000 0.000 0.000  -0.21
Sc4 0.000 0.500 0.239  -0.18
Mn1 0.500 0.500 0.000  2.62
Al1 0.500 0.000 0.247  -0.01
Al2 0.500 0.500 0.500  0.00
Al3 0.500 0.000 0.753  -0.01

Computed properties:
The energy of formation from the pure elements comes out at -0.331 eV per atom. As for the symmetry: Pmmm. The total moment is 0.2129 μB per atom. As for the calculated volume: 151.2 Å³/f.u.

=====

[2]
This record from Alexandria via LeMat-Bulk describes CsYP2O6 after structural relaxation. The functional is GGA-PBE.

Cell lengths 7.079, 7.079, 8.594 Å; angles 100.58, 100.58, 101.14 degrees
Each line ends with the local moment (μB).
Sites, in units of the cell vectors:
Cs1 0.157 0.843 0.250  0.02
Cs2 0.843 0.157 0.750  0.02
Y1 0.652 0.348 0.250  0.02
Y2 0.348 0.652 0.750  0.02
P1 0.364 0.168 0.845  0.23
P2 0.832 0.636 0.655  0.23
P3 0.636 0.832 0.155  0.23
P4 0.168 0.364 0.345  0.23
O1 0.975 0.370 0.228  0.11
O2 0.630 0.025 0.272  0.11
O3 0.025 0.630 0.772  0.11
O4 0.370 0.975 0.728  0.11
O5 0.325 0.307 0.253  0.10
O6 0.693 0.675 0.247  0.10
O7 0.675 0.693 0.747  0.10
O8 0.307 0.325 0.753  0.10
O9 0.250 0.559 0.476  0.10
O10 0.441 0.750 0.024  0.10
O11 0.750 0.441 0.524  0.10
O12 0.559 0.250 0.976  0.10

Computed properties:
As for the uncorrected formation energy: -2.32 eV per atom. As for the symmetry: C2/c. The total moment is 0.2000 μB per atom. As for the calculated volume: 202.2 Å³/f.u.

=====

[3]
This record from Alexandria via LeMat-Bulk describes SrZr2Zn after structural relaxation. The functional is GGA-PBE.

Cell lengths 10.668, 10.668, 10.668 Å; angles 18.14, 18.14, 18.14 degrees
Sites, in units of the cell vectors:
Sr1 0.250 0.250 0.250
Zn1 0.750 0.750 0.750
Zr1 0.017 0.017 0.017
Zr2 0.483 0.483 0.483

Computed properties:
The energy of formation from the pure elements comes out at 0.321 eV per atom. As for the symmetry: R-3m. The total moment is 0.0000 μB per atom. As for the calculated volume: 102.8 Å³/f.u.

=====

[4]
This record from Alexandria via LeMat-Bulk describes Tl2ReIr after structural relaxation. The functional is GGA-PBE.

Cell lengths 3.311, 3.311, 6.774 Å; angles 90.00, 90.00, 90.00 degrees
Each line ends with the local moment (μB).
Sites, in units of the cell vectors:
Ir1 0.500 0.500 0.250  0.09
Re1 0.500 0.500 0.750  1.04
Tl1 0.000 0.000 0.003  0.00
Tl2 0.000 0.000 0.497  0.00

Computed properties:
The energy of formation from the pure elements comes out at 1.043 eV per atom. As for the symmetry: P4/mmm. The energy above the most stable polymorph in this dataset is 0.591 eV/atom. The total moment is 0.3206 μB per atom. As for the calculated volume: 74.3 Å³/f.u.

=====

[5]
This record from Alexandria via LeMat-Bulk describes LaZnGeCl after structural relaxation. The functional is GGA-PBE.

Cell lengths 4.318, 4.318, 13.405 Å; angles 80.73, 80.73, 60.00 degrees
Sites, in units of the cell vectors:
La1 0.085 0.085 0.745
La2 0.915 0.915 0.255
Zn1 0.692 0.692 0.925
Zn2 0.308 0.308 0.075
Ge1 0.625 0.625 0.126
Ge2 0.375 0.375 0.874
Cl1 0.793 0.793 0.622
Cl2 0.207 0.207 0.378

Computed properties:
As for the uncorrected formation energy: -1.13 eV per atom. As for the symmetry: R-3m. The total moment is 0.0000 μB per atom. As for the calculated volume: 106.3 Å³/f.u.